No. 1
TbYTmZr | the Alexandria database | PBE | relaxed; SG = F-43m (216)
1.0
0.0000 3.8861 3.8861
3.8861 0.0000 3.8861
3.8861 3.8861 0.0000
Tb Y Tm Zr
1 1 1 1
direct
0.0000 0.0000 0.0000
0.7500 0.7500 0.7500
0.5000 0.5000 0.5000
0.2500 0.2500 0.2500

---

No. 2
KMg2Te | the Alexandria database | PBE | relaxed; formation energy without anion corrections = -0.03 eV/atom; SG = Cmmm (65)
1.0
3.2304 -5.9403 0.0000
3.2304 5.9403 0.0000
0.0000 0.0000 3.2931
K Mg Te
1 2 1
direct
0.0000 0.0000 0.0000
0.0000 0.5000 0.5000
0.5000 0.0000 0.5000
0.5000 0.5000 0.0000

---

No. 3
Hg2OsRhI | the Alexandria database | PBE | relaxed; formation energy without anion corrections = 0.92 eV/atom; ΔE to the lowest computed polymorph = 0.00 eV/f.u.; SG = P4/mmm (123)
1.0
5.3493 0.0000 0.0000
0.0000 5.3493 0.0000
0.0000 0.0000 4.7283
Hg Os Rh I
2 1 1 1
direct
0.0000 0.5000 0.0000
0.5000 0.0000 0.0000
0.0000 0.0000 0.0000
0.0000 0.0000 0.5000
0.5000 0.5000 0.5000

---

No. 4
BaCdGaPd2 | the Alexandria database | PBE | relaxed; SG = P4/mmm (123)
1.0
5.4801 0.0000 0.0000
0.0000 5.4801 0.0000
0.0000 0.0000 6.4625
Ba Cd Ga Pd
1 1 1 2
direct
0.0000 0.0000 0.0000
0.0000 0.0000 0.5000
0.5000 0.5000 0.5000
0.0000 0.5000 0.0000
0.5000 0.0000 0.0000

---

No. 5
ThGeRuRh | the Alexandria database | PBE | relaxed; SG = Amm2 (38)
1.0
4.5557 0.0000 0.0000
0.0000 1.7859 4.7515
0.0000 -1.7859 4.7515
Th Ge Ru Rh
1 1 1 1
direct
0.0000 0.0000 0.0000
0.5000 0.3727 0.3727
0.5000 0.6715 0.6715
0.0000 0.2671 0.2671

---

No. 6
CsNp2O6 | the Alexandria database | PBE | relaxed; formation energy without anion corrections = -2.77 eV/atom; SG = Fd-3m (227)
1.0
0.0000 5.5828 5.5828
5.5828 0.0000 5.5828
5.5828 5.5828 0.0000
Cs Np O
2 4 12
direct
0.1250 0.1250 0.1250
0.8750 0.8750 0.8750
0.0000 0.5000 0.5000
0.5000 0.0000 0.5000
0.5000 0.5000 0.0000
0.5000 0.5000 0.5000
0.1849 0.1849 0.5651
0.1849 0.5651 0.1849
0.1849 0.5651 0.5651
0.4349 0.4349 0.8151
0.4349 0.8151 0.4349
0.4349 0.8151 0.8151
0.5651 0.1849 0.1849
0.5651 0.1849 0.5651
0.5651 0.5651 0.1849
0.8151 0.4349 0.4349
0.8151 0.4349 0.8151
0.8151 0.8151 0.4349

---

No. 7
HfPaPd2 | the Alexandria database | PBE | relaxed; ΔE to the lowest computed polymorph = 0.40 eV/f.u.; SG = Fm-3m (225)
1.0
0.0000 3.4314 3.4314
3.4314 0.0000 3.4314
3.4314 3.4314 0.0000
Hf Pa Pd
1 1 2
direct
0.0000 0.0000 0.0000
0.5000 0.5000 0.5000
0.2500 0.2500 0.2500
0.7500 0.7500 0.7500

---

No. 8
Ba3HfMn | the Alexandria database | PBE | relaxed; ΔE to the lowest computed polymorph = 0.00 eV/f.u.; SG = Pm-3m (221)
1.0
6.2954 0.0000 0.0000
0.0000 6.2954 0.0000
0.0000 0.0000 6.2954
Ba Hf Mn
3 1 1
direct
0.0000 0.0000 0.5000
0.0000 0.5000 0.0000
0.5000 0.0000 0.0000
0.0000 0.0000 0.0000
0.5000 0.5000 0.5000

---

No. 9
CsSrCa2Pt | the Alexandria database | PBE | relaxed; SG = P4/mmm (123)
1.0
5.8865 0.0000 0.0000
0.0000 5.8865 0.0000
0.0000 0.0000 6.1227
Cs Sr Ca Pt
1 1 2 1
direct
0.0000 0.0000 0.0000
0.5000 0.5000 0.0000
0.0000 0.5000 0.5000
0.5000 0.0000 0.5000
0.5000 0.5000 0.5000

---

No. 10
Al7C5 | the Alexandria database | PBE | relaxed; SG = I4mm (107)
1.0
-4.0269 4.0269 3.1345
4.0269 -4.0269 3.1345
4.0269 4.0269 -3.1345
Al C
7 5
direct
0.0000 0.0000 0.0000
0.2606 0.7606 0.5000
0.3108 0.5393 0.7715
0.5393 0.3108 0.7715
0.5393 0.7678 0.2285
0.7606 0.2606 0.5000
0.7678 0.5393 0.2285
0.1777 0.1777 0.8056
0.1777 0.3722 0.0000
0.3722 0.1777 0.0000
0.3722 0.3722 0.1944
0.6992 0.6992 0.0000

---

No. 11
NdEuPb4 | the Alexandria database | PBE | relaxed; SG = F-43m (216)
1.0
0.0000 4.6040 4.6040
4.6040 0.0000 4.6040
4.6040 4.6040 0.0000
Nd Eu Pb
1 1 4
direct
0.0000 0.0000 0.0000
0.2500 0.2500 0.2500
0.1239 0.6254 0.6254
0.6254 0.1239 0.6254
0.6254 0.6254 0.1239
0.6254 0.6254 0.6254

---

No. 12
Ac4Sm6Y | the Alexandria database | PBE | relaxed; SG = I-42m (121)
1.0
-3.5849 3.5849 8.3211
3.5849 -3.5849 8.3211
3.5849 3.5849 -8.3211
Ac Sm Y
4 6 1
direct
0.1246 0.1246 0.6101
0.4855 0.8754 0.0000
0.5145 0.5145 0.3899
0.8754 0.4855 0.0000
0.0000 0.5000 0.5000
0.0668 0.7319 0.0000
0.2681 0.2681 0.3349
0.5000 0.0000 0.5000
0.7319 0.0668 0.0000
0.9332 0.9332 0.6651
0.5000 0.5000 0.0000

---

Number 1: DOS at the Fermi energy 6.4 states/eV/f.u., uncorrected energy -5.818 eV per atom, total moment 0.7306 μB per atom. Number 2: DOS at the Fermi energy 1.3 states/eV/f.u., uncorrected energy -1.891 eV per atom, total moment 0.0000 μB per atom. Number 3: DOS at the Fermi energy 4.5 states/eV/f.u., uncorrected energy -3.227 eV per atom, total moment 0.0000 μB per atom. Number 4: DOS at the Fermi energy 3.5 states/eV/f.u., uncorrected energy -2.387 eV per atom, total moment 0.0000 μB per atom. Number 5: DOS at the Fermi energy 3.5 states/eV/f.u., uncorrected energy -7.564 eV per atom, total moment 0.0003 μB per atom. Number 6: DOS at the Fermi energy 6.2 states/eV/f.u., uncorrected energy -9.041 eV per atom, total moment 0.3333 μB per atom. Number 7: DOS at the Fermi energy 6.2 states/eV/f.u., uncorrected energy -7.875 eV per atom, total moment 0.2173 μB per atom. Number 8: DOS at the Fermi energy 5.8 states/eV/f.u., uncorrected energy -3.819 eV per atom, total moment 1.1068 μB per atom. Number 9: DOS at the Fermi energy 4.6 states/eV/f.u., uncorrected energy -2.847 eV per atom, total moment 0.0000 μB per atom. Number 10: DOS at the Fermi energy 6.1 states/eV/f.u., uncorrected energy -5.116 eV per atom, total moment 0.0000 μB per atom. Number 11: DOS at the Fermi energy 4.3 states/eV/f.u., uncorrected energy -5.244 eV per atom, total moment 1.2991 μB per atom. Number 12: DOS at the Fermi energy 16.6 states/eV/f.u., uncorrected energy -4.397 eV per atom, total moment 0.0000 μB per atom.